Entry 1:
HoHfPa2 | PBE-GGA | optimized geometry

```
4
Lattice="3.1706 0.0000 0.0000 0.0000 3.1706 0.0000 0.0000 0.0000 10.1546" Properties=species:S:1:pos:R:3 pbc="T T T"
Hf 1.5853 1.5853 0.0000
Pa 0.0000 0.0000 7.7484
Ho 1.5853 1.5853 5.0773
Pa 0.0000 0.0000 2.4062
```

energy above the lowest structure with this stoichiometry = 0.000 eV per atom
formation energy = 0.184 eV/atom

***

Entry 2:
K2Ag2GeSe4 | PBE-GGA | optimized geometry

```
18
Lattice="-1.7837 12.8755 -1.3936 -7.5158 8.5673 1.6738 4.8902 4.9108 3.5773" Properties=species:S:1:pos:R:3 pbc="T T T"
Ag 3.8590 6.1122 3.3377
Se -2.2820 11.0608 0.7748
Ag -2.1335 7.7898 0.7248
K -4.8490 16.2576 1.3143
Ge -3.3070 19.7652 2.8931
Se -0.3691 13.2444 3.4912
Se -1.1409 19.5962 1.8469
Ge -2.2047 13.1768 1.9287
K -0.6627 16.6844 3.5075
Ag -8.2684 20.2414 0.5198
Se -3.7149 17.8857 4.3479
Se -3.2296 21.8813 4.0470
Se -1.7968 15.0563 0.4740
Ag -0.0711 5.3870 1.2040
Se -4.3708 13.3458 2.9750
K 0.4397 10.0960 2.5432
Se -5.1426 19.6976 1.3307
K -5.9513 22.8460 2.2787
```

uncorrected formation energy = -0.639 eV/atom